[1]
DFT (GGA-PBE) results for SbPOs after structural relaxation.

Properties
- Total magnetic moment: 0.0 μB/cell
- Space group: No. 10
- Density: 10.098 g/cm³
- Energy: -6.933 eV per atom

abc: 5.676 3.113 6.416
angles: 90.00 95.81 90.00
Atoms (fractional coordinates):
Os (0.500, 0.500, 0.500)
Os (0.000, 0.000, 0.000)
P (0.685, 0.500, 0.861)
P (0.315, 0.500, 0.139)
Sb (0.813, 0.000, 0.349)
Sb (0.187, 0.000, 0.651)

[2]
DFT (GGA-PBE) results for HoZrAu after structural relaxation.

Properties
- Total magnetic moment: 0.0 μB/cell
- Space group: No. 216
- Density: 10.241 g/cm³
- Formation energy from the elements: 306.7 meV/atom
- Energy: -5.157 eV per atom

abc: 4.701 4.701 4.701
angles: 60.00 60.00 60.00
Atoms (fractional coordinates):
Au (0.250, 0.250, 0.250)
Zr (0.000, 0.000, 0.000)
Ho (0.750, 0.750, 0.750)

[3]
DFT (GGA-PBE) results for Ta5Ga3 after structural relaxation.

Properties
- Total magnetic moment: 0.0 μB/cell
- Space group: No. 140
- Density: 13.709 g/cm³
- Energy: -8.792 eV per atom

abc: 7.615 7.615 7.615
angles: 127.46 127.46 77.50
Atoms (fractional coordinates):
Ta (0.182, 0.682, 0.177)
Ta (0.494, 0.994, 0.177)
Ta (0.006, 0.182, 0.500)
Ta (0.000, 0.000, 0.000)
Ta (0.682, 0.506, 0.500)
Ta (0.818, 0.318, 0.823)
Ta (0.500, 0.500, 0.000)
Ta (0.318, 0.494, 0.500)
Ta (0.506, 0.006, 0.823)
Ta (0.994, 0.818, 0.500)
Ga (0.366, 0.134, 0.500)
Ga (0.634, 0.866, 0.500)
Ga (0.250, 0.250, 0.000)
Ga (0.866, 0.366, 0.231)
Ga (0.750, 0.750, 0.000)
Ga (0.134, 0.634, 0.769)

[4]
DFT (GGA-PBE) results for TmSiIr after structural relaxation.

Properties
- Total magnetic moment: 0.0 μB/cell
- Space group: No. 62
- Density: 12.266 g/cm³
- Energy: -7.352 eV per atom

abc: 6.764 4.198 7.422
angles: 90.00 90.00 90.00
Atoms (fractional coordinates):
Tm (0.996, 0.250, 0.812)
Tm (0.496, 0.250, 0.688)
Tm (0.004, 0.750, 0.188)
Tm (0.504, 0.750, 0.312)
Ir (0.159, 0.750, 0.566)
Ir (0.659, 0.750, 0.934)
Ir (0.841, 0.250, 0.434)
Ir (0.341, 0.250, 0.066)
Si (0.704, 0.250, 0.111)
Si (0.296, 0.750, 0.889)
Si (0.204, 0.250, 0.389)
Si (0.796, 0.750, 0.611)

[5]
DFT (GGA-PBE) results for TbFe6Sn6 after structural relaxation.

Properties
- Total magnetic moment: 25.5 μB/cell
- Space group: No. 63
- Density: 8.878 g/cm³
- Energy: -6.161 eV per atom

abc: 5.409 8.935 10.351
angles: 64.43 90.00 90.00
Last column: magnetic moment on the atom in μB.
Atoms (fractional coordinates):
Tb (0.750, 0.127, 0.746)  -0.13
Tb (0.250, 0.873, 0.254)  -0.13
Sn (0.250, 0.213, 0.249)  -0.09
Sn (0.750, 0.462, 0.751)  -0.09
Sn (0.750, 0.789, 0.422)  -0.07
Sn (0.750, 0.958, 0.084)  -0.08
Sn (0.250, 0.705, 0.590)  -0.07
Sn (0.750, 0.459, 0.082)  -0.07
Sn (0.750, 0.787, 0.751)  -0.09
Sn (0.250, 0.538, 0.249)  -0.09
Sn (0.250, 0.541, 0.918)  -0.07
Sn (0.250, 0.042, 0.916)  -0.08
Sn (0.250, 0.211, 0.578)  -0.07
Sn (0.750, 0.295, 0.410)  -0.07
Fe (0.500, 0.500, 0.500)  2.29
Fe (0.000, 0.500, 0.500)  2.26
Fe (0.500, 0.247, 0.000)  2.23
Fe (0.250, 0.372, 0.750)  2.27
Fe (0.000, 0.000, 0.500)  2.26
Fe (0.250, 0.878, 0.750)  2.27
Fe (0.000, 0.753, 0.000)  2.25
Fe (0.000, 0.247, 0.000)  2.25
Fe (0.500, 0.753, 0.000)  2.23
Fe (0.500, 0.000, 0.500)  2.28
Fe (0.750, 0.122, 0.250)  2.27
Fe (0.750, 0.628, 0.250)  2.27

[6]
DFT (GGA-PBE) results for LaNd2Al7Cu2 after structural relaxation.

Properties
- Total magnetic moment: 0.0 μB/cell
- Space group: No. 166
- Density: 5.244 g/cm³
- Energy: -4.499 eV per atom

abc: 9.239 9.239 9.239
angles: 35.31 35.31 35.31
Atoms (fractional coordinates):
La (0.000, 0.000, 0.000)
Al (0.581, 0.072, 0.581)
Al (0.500, 0.500, 0.500)
Al (0.072, 0.581, 0.581)
Al (0.581, 0.581, 0.072)
Al (0.419, 0.928, 0.419)
Al (0.419, 0.419, 0.928)
Al (0.928, 0.419, 0.419)
Nd (0.858, 0.858, 0.858)
Nd (0.142, 0.142, 0.142)
Cu (0.335, 0.335, 0.335)
Cu (0.665, 0.665, 0.665)

[7]
DFT (GGA-PBE) results for Ta3In2Cl9 after structural relaxation.

Properties
- Total magnetic moment: 0.0 μB/cell
- Space group: No. 12
- Density: 5.016 g/cm³
- Energy: -5.264 eV per atom

abc: 9.479 9.479 9.674
angles: 105.27 105.27 110.41
Atoms (fractional coordinates):
Cl (0.763, 0.763, 0.796)
Cl (0.778, 0.222, 0.500)
Cl (0.237, 0.237, 0.204)
Cl (0.145, 0.923, 0.824)
Cl (0.168, 0.391, 0.511)
Cl (0.923, 0.145, 0.824)
Cl (0.912, 0.488, 0.176)
Cl (0.832, 0.609, 0.489)
Cl (0.318, 0.318, 0.836)
Cl (0.088, 0.512, 0.824)
Cl (0.391, 0.168, 0.511)
Cl (0.077, 0.855, 0.176)
Cl (0.222, 0.778, 0.500)
Cl (0.488, 0.912, 0.176)
Cl (0.855, 0.077, 0.176)
Cl (0.682, 0.682, 0.164)
Cl (0.512, 0.088, 0.824)
Cl (0.609, 0.832, 0.489)
Ta (0.776, 0.961, 0.359)
Ta (0.224, 0.039, 0.641)
Ta (0.039, 0.224, 0.641)
Ta (0.104, 0.104, 0.368)
Ta (0.961, 0.776, 0.359)
Ta (0.896, 0.896, 0.632)
In (0.242, 0.547, 0.163)
In (0.453, 0.758, 0.837)
In (0.758, 0.453, 0.837)
In (0.547, 0.242, 0.163)

[8]
DFT (GGA-PBE) results for LaMgZrCo after structural relaxation.

Properties
- Total magnetic moment: 0.1 μB/cell
- Space group: No. 216
- Density: 6.457 g/cm³
- Energy: -5.249 eV per atom

abc: 4.848 4.848 4.848
angles: 60.00 60.00 60.00
Atoms (fractional coordinates):
Mg (0.750, 0.750, 0.750)
La (0.500, 0.500, 0.500)
Zr (0.250, 0.250, 0.250)
Co (0.000, 0.000, 0.000)

[9]
DFT (GGA-PBE) results for Hg3As2O8 after structural relaxation.

Properties
- Space group: No. 14
- Density: 7.679 g/cm³
- Energy: -4.632 eV per atom

abc: 9.989 11.794 6.557
angles: 90.00 99.93 90.00
Atoms (fractional coordinates):
O (0.297, 0.660, 0.871)
O (0.454, 0.463, 0.790)
O (0.454, 0.037, 0.290)
O (0.546, 0.537, 0.210)
O (0.476, 0.189, 0.822)
O (0.945, 0.296, 0.926)
O (0.866, 0.550, 0.874)
O (0.134, 0.050, 0.626)
O (0.789, 0.766, 0.632)
O (0.055, 0.704, 0.074)
O (0.913, 0.942, 0.820)
O (0.703, 0.160, 0.629)
O (0.866, 0.950, 0.374)
O (0.087, 0.058, 0.180)
O (0.211, 0.266, 0.868)
O (0.703, 0.340, 0.129)
O (0.789, 0.734, 0.132)
O (0.055, 0.796, 0.574)
O (0.722, 0.075, 0.012)
O (0.087, 0.442, 0.680)
O (0.297, 0.840, 0.371)
O (0.134, 0.450, 0.126)
O (0.211, 0.234, 0.368)
O (0.546, 0.963, 0.710)
O (0.278, 0.925, 0.988)
O (0.722, 0.425, 0.512)
O (0.524, 0.811, 0.178)
O (0.524, 0.689, 0.678)
O (0.278, 0.575, 0.488)
O (0.945, 0.204, 0.426)
O (0.913, 0.558, 0.320)
O (0.476, 0.311, 0.322)
As (0.602, 0.098, 0.791)
As (0.905, 0.631, 0.089)
As (0.602, 0.402, 0.291)
As (0.398, 0.598, 0.709)
As (0.905, 0.869, 0.589)
As (0.398, 0.902, 0.209)
As (0.095, 0.369, 0.911)
As (0.095, 0.131, 0.411)
Hg (0.300, 0.888, 0.682)
Hg (0.300, 0.612, 0.182)
Hg (0.953, 0.378, 0.333)
Hg (0.337, 0.336, 0.594)
Hg (0.663, 0.836, 0.906)
Hg (0.337, 0.164, 0.094)
Hg (0.700, 0.388, 0.818)
Hg (0.663, 0.664, 0.406)
Hg (0.953, 0.122, 0.833)
Hg (0.047, 0.878, 0.167)
Hg (0.047, 0.622, 0.667)
Hg (0.700, 0.112, 0.318)

[10]
DFT (GGA-PBE) results for IrOs2W after structural relaxation.

Properties
- Total magnetic moment: 0.0 μB/cell
- Space group: No. 63
- Density: 21.357 g/cm³
- Formation energy from the elements: -209.9 meV/atom
- Energy: -11.277 eV per atom

abc: 5.545 5.545 4.412
angles: 90.00 90.00 119.84
Atoms (fractional coordinates):
Ir (0.334, 0.666, 0.250)
Ir (0.666, 0.334, 0.750)
W (0.836, 0.164, 0.250)
W (0.164, 0.836, 0.750)
Os (0.833, 0.672, 0.250)
Os (0.167, 0.328, 0.750)
Os (0.328, 0.167, 0.250)
Os (0.672, 0.833, 0.750)

[11]
DFT (GGA-PBE) results for CsP2IrSeS6 after structural relaxation.

Properties
- Total magnetic moment: 0.0 μB/cell
- Space group: No. 5
- Density: 3.625 g/cm³
- Energy: -4.889 eV per atom

abc: 6.561 6.561 7.066
angles: 94.59 94.59 93.25
Atoms (fractional coordinates):
S (0.501, 0.190, 0.299)
S (0.627, 0.691, 0.251)
S (0.810, 0.499, 0.701)
S (0.485, 0.842, 0.650)
S (0.158, 0.515, 0.350)
S (0.309, 0.373, 0.749)
P (0.627, 0.956, 0.427)
P (0.044, 0.373, 0.573)
Ir (0.496, 0.504, 0.500)
Cs (0.085, 0.915, 0.000)
Se (0.976, 0.024, 0.500)

[12]
DFT (GGA-PBE) results for Cd6ReO8 after structural relaxation.

Properties
- Total magnetic moment: 2.7 μB/cell
- Space group: No. 225
- Density: 7.862 g/cm³
- Energy: -4.880 eV per atom

abc: 6.659 6.659 6.659
angles: 60.00 60.00 60.00
Last column: magnetic moment on the atom in μB.
Atoms (fractional coordinates):
O (0.215, 0.215, 0.785)  0.03
O (0.785, 0.215, 0.215)  0.03
O (0.215, 0.785, 0.215)  0.03
O (0.785, 0.215, 0.785)  0.03
O (0.750, 0.750, 0.750)  0.03
O (0.785, 0.785, 0.215)  0.03
O (0.215, 0.785, 0.785)  0.03
O (0.250, 0.250, 0.250)  0.03
Cd (0.500, 0.000, 0.000)  0.01
Cd (0.500, 0.500, 0.000)  0.02
Cd (0.000, 0.500, 0.000)  0.03
Cd (0.000, 0.000, 0.500)  0.05
Cd (0.500, 0.000, 0.500)  0.01
Cd (0.000, 0.500, 0.500)  0.04
Re (0.000, 0.000, 0.000)  2.10

[13]
DFT (GGA-PBE) results for LuScFe2Ge2C after structural relaxation.

Properties
- Total magnetic moment: 0.0 μB/cell
- Space group: No. 8
- Density: 7.744 g/cm³
- Energy: -7.136 eV per atom

abc: 5.563 5.563 6.576
angles: 125.05 125.05 40.67
Atoms (fractional coordinates):
Sc (0.444, 0.444, 0.717)
Ge (0.843, 0.843, 0.306)
Ge (0.158, 0.158, 0.698)
C (0.998, 0.998, 0.994)
Lu (0.557, 0.557, 0.285)
Fe (0.198, 0.198, 0.092)
Fe (0.801, 0.801, 0.907)

[14]
DFT (GGA-PBE) results for PrHIBr after structural relaxation.

Properties
- Total magnetic moment: 0.0 μB/cell
- Space group: No. 187
- Density: 5.159 g/cm³
- Energy: -4.219 eV per atom

abc: 4.106 4.106 15.380
angles: 90.00 90.00 120.00
Atoms (fractional coordinates):
I (0.333, 0.667, 0.143)
I (0.333, 0.667, 0.857)
H (0.000, 0.000, 0.000)
H (0.333, 0.667, 0.500)
Br (0.000, 0.000, 0.374)
Br (0.000, 0.000, 0.626)
Pr (0.667, 0.333, 0.000)
Pr (0.667, 0.333, 0.500)

[15]
DFT (GGA-PBE) results for Li3La2NdPb3 after structural relaxation.

Properties
- Total magnetic moment: 0.0 μB/cell
- Space group: No. 187
- Density: 7.331 g/cm³
- Energy: -4.015 eV per atom

abc: 4.887 4.887 11.658
angles: 90.00 90.00 120.00
Atoms (fractional coordinates):
Li (0.333, 0.667, 0.816)
Li (0.333, 0.667, 0.184)
Li (0.667, 0.333, 0.500)
La (0.000, 0.000, 0.334)
La (0.000, 0.000, 0.666)
Pb (0.333, 0.667, 0.500)
Pb (0.667, 0.333, 0.833)
Pb (0.667, 0.333, 0.167)
Nd (0.000, 0.000, 0.000)

[16]
DFT (GGA-PBE) results for SmCu3Se2S2 after structural relaxation.

Properties
- Total magnetic moment: 0.0 μB/cell
- Space group: No. 5
- Density: 5.371 g/cm³
- Energy: -4.494 eV per atom

abc: 6.474 6.474 5.922
angles: 114.18 114.18 51.98
Atoms (fractional coordinates):
Cu (0.746, 0.753, 0.761)
Cu (0.477, 0.523, 0.000)
Cu (0.247, 0.254, 0.239)
S (0.425, 0.872, 0.937)
S (0.128, 0.575, 0.063)
Sm (0.057, 0.943, 0.500)
Se (0.844, 0.424, 0.366)
Se (0.576, 0.156, 0.634)

[17]
DFT (GGA-PBE) results for ZrTaAlNi after structural relaxation.

Properties
- Total magnetic moment: 1.7 μB/cell
- Space group: No. 216
- Density: 8.769 g/cm³
- Energy: -7.318 eV per atom

abc: 4.576 4.576 4.576
angles: 60.00 60.00 60.00
Atoms (fractional coordinates):
Al (0.000, 0.000, 0.000)
Ni (0.750, 0.750, 0.750)
Zr (0.500, 0.500, 0.500)
Ta (0.250, 0.250, 0.250)

[18]
DFT (GGA-PBE) results for NdY2Sn3PdPt2 after structural relaxation.

Properties
- Total magnetic moment: 0.0 μB/cell
- Space group: No. 38
- Density: 9.667 g/cm³
- Energy: -6.257 eV per atom

abc: 4.064 7.582 7.582
angles: 120.27 90.00 90.00
Atoms (fractional coordinates):
Y (0.000, 0.408, 0.999)
Y (0.000, 0.999, 0.408)
Nd (0.000, 0.589, 0.589)
Pt (0.500, 0.329, 0.669)
Pt (0.500, 0.669, 0.329)
Sn (0.500, 0.255, 0.255)
Sn (0.500, 0.002, 0.745)
Sn (0.500, 0.745, 0.002)
Pd (0.000, 0.004, 0.004)

[19]
DFT (GGA-PBE) results for Nd2AlSiBr2 after structural relaxation.

Properties
- Total magnetic moment: 0.0 μB/cell
- Space group: No. 156
- Density: 4.786 g/cm³
- Energy: -4.907 eV per atom

abc: 4.169 4.169 11.606
angles: 90.00 90.00 120.00
Atoms (fractional coordinates):
Nd (0.667, 0.333, 0.682)
Nd (0.667, 0.333, 0.318)
Br (0.000, 0.000, 0.158)
Br (0.333, 0.667, 0.842)
Si (0.000, 0.000, 0.515)
Al (0.333, 0.667, 0.486)

[20]
DFT (GGA-PBE) results for SrHoNi2Ge4 after structural relaxation.

Properties
- Total magnetic moment: 0.0 μB/cell
- Space group: No. 38
- Density: 7.265 g/cm³
- Energy: -5.086 eV per atom

abc: 4.173 8.810 8.810
angles: 27.78 90.00 90.00
Atoms (fractional coordinates):
Ge (0.000, 0.459, 0.459)
Ge (0.500, 0.545, 0.545)
Ge (0.500, 0.248, 0.248)
Ge (0.000, 0.747, 0.747)
Sr (0.500, 0.893, 0.893)
Ho (0.000, 0.112, 0.112)
Ni (0.000, 0.318, 0.318)
Ni (0.500, 0.678, 0.678)